Here is a relaxed structure of Mn2SeO from Alexandria via LeMat-Bulk. Energies are from PBE with a Hubbard U.

Cell: 6.488 6.488 6.488 Å, 129.88 129.88 73.60°
Sites, in units of the cell vectors:
Mn  0.047  0.625  0.922
Mn  0.375  0.297  0.422
Mn  0.703  0.125  0.078
Mn  0.875  0.953  0.578
Se  0.250  0.750  0.500
Se  0.500  0.500  0.000
O  0.000  0.000  0.000
O  0.750  0.250  0.500

Summary:
E above lowest polymorph: 0.00 eV/f.u.
Fermi-level density of states: 0.0 states/eV/f.u.
Energy: -6.914 eV/atom
Symmetry: I-42d (122)